SmDy2Te | Alexandria | GGA-PBE | relaxed; space-group type = No. 63; uncorrected formation energy = -64 kJ/mol of atoms; calculated volume = 29.9 A^3/atom; distance to the lowest polymorph of the same formula = 0 meV per atom
1.0
1.986 -6.087 0.000
1.986 6.087 0.000
0.000 0.000 9.906
Sm Dy Te
2 4 2
Direct
0.056 0.944 0.750
0.944 0.056 0.250
0.364 0.636 0.536
0.364 0.636 0.964
0.636 0.364 0.036
0.636 0.364 0.464
0.233 0.767 0.250
0.767 0.233 0.750